Record 1
The following is a PBE calculation of crystalline Cs2HSe2 at its relaxed geometry, from Alexandria.

POSCAR file:
```
Cs2HSe2
1.0
1.7550 -9.9064 0.0000
1.7550 9.9064 0.0000
0.0000 0.0000 9.7632
Cs H Se
4 2 4
Cartesian
1.7550 9.8626 4.8816
1.7550 5.0557 0.4307
1.7550 -5.0557 5.3123
1.7550 -9.8626 0.0000
1.7550 2.7023 2.9739
1.7550 -2.7023 7.8555
1.7550 7.2595 7.3588
1.7550 2.2788 7.3374
1.7550 -2.2788 2.4558
1.7550 -7.2595 2.4772
```

- Crystal system: orthorhombic
- Offset from the most stable computed form: 99 meV/atom
- Total DFT energy (no corrections): -14.7 eV per formula unit
- D(E_F): 8.05 states/eV/cell


Record 2
The following is a PBE calculation of crystalline Cs3HSe at its relaxed geometry, from Alexandria.

POSCAR file:
```
Cs3HSe
1.0
5.7769 0.0000 0.0000
0.0000 5.7769 0.0000
0.0000 0.0000 5.7769
Cs H Se
3 1 1
Cartesian
0.0000 0.0000 2.8885
0.0000 2.8885 0.0000
2.8885 0.0000 0.0000
0.0000 0.0000 0.0000
2.8885 2.8885 2.8885
```

- Crystal system: cubic
- Offset from the most stable computed form: 17 meV/atom
- Total DFT energy (no corrections): -12.6 eV per formula unit
- D(E_F): 0.00 states/eV/cell


Record 3
The following is a PBE calculation of crystalline CsHSe3 at its relaxed geometry, from Alexandria.

POSCAR file:
```
CsHSe3
1.0
4.8293 0.0000 0.0000
0.0000 4.8293 0.0000
0.0000 0.0000 4.8293
Cs H Se
1 1 3
Cartesian
0.0000 0.0000 0.0000
2.4146 2.4146 2.4146
0.0000 2.4146 2.4146
2.4146 0.0000 2.4146
2.4146 2.4146 0.0000
```

- Crystal system: cubic
- Offset from the most stable computed form: 804 meV/atom
- Total DFT energy (no corrections): -12.8 eV per formula unit
- D(E_F): 3.40 states/eV/cell


Record 4
The following is a PBE calculation of crystalline Cs3H4Se at its relaxed geometry, from Alexandria.

POSCAR file:
```
Cs3H4Se
1.0
8.7399 -2.2449 0.0000
8.7399 2.2449 0.0000
-3.1533 0.0000 6.7475
Cs H Se
3 4 1
Cartesian
0.0000 0.0000 0.0000
8.7115 0.0000 4.0957
12.3186 0.0000 1.6722
1.5552 0.0000 2.5928
-0.1636 0.0000 6.2767
6.2241 0.0000 0.0113
3.9976 0.0000 4.8005
2.5395 0.0000 5.3088
```

- Crystal system: monoclinic
- Offset from the most stable computed form: 316 meV/atom
- Total DFT energy (no corrections): -19.9 eV per formula unit
- D(E_F): 2.36 states/eV/cell


Record 5
The following is a PBE calculation of crystalline Cs3H4Se at its relaxed geometry, from Alexandria.

POSCAR file:
```
Cs3H4Se
1.0
10.5273 -2.3464 0.0000
10.5273 2.3464 0.0000
-1.6901 0.0000 5.7844
Cs H Se
3 4 1
Cartesian
0.0000 0.0000 0.0000
1.8531 0.0000 3.6831
17.5114 0.0000 2.1013
6.7107 0.0000 4.6479
7.3980 0.0000 4.2840
11.9666 0.0000 1.5004
12.6539 0.0000 1.1364
9.6823 0.0000 2.8922
```

- Crystal system: monoclinic
- Offset from the most stable computed form: 0 meV/atom
- Total DFT energy (no corrections): -22.4 eV per formula unit
- D(E_F): 1.78 states/eV/cell


Record 6
The following is a PBE calculation of crystalline Cs3H4Se4 at its relaxed geometry, from Alexandria.

POSCAR file:
```
Cs3H4Se4
1.0
5.1307 0.0000 0.0000
-0.0015 5.4276 0.0000
-0.4928 -2.7091 12.8674
Cs H Se
3 4 4
Cartesian
0.0000 0.0000 0.0000
1.4661 2.7276 8.3609
3.1704 -0.0091 4.5065
-0.0660 0.0181 7.2117
1.6240 2.7116 1.9205
3.0125 0.0070 10.9468
4.7024 2.7005 5.6557
0.6330 2.7052 4.6121
1.5782 0.0067 11.3454
3.0582 2.7119 1.5220
4.0035 0.0134 8.2553
```

- Crystal system: triclinic
- Total DFT energy (no corrections): -35.6 eV per formula unit
- D(E_F): 0.41 states/eV/cell


Record 7
The following is a PBE calculation of crystalline Cs4H2Se at its relaxed geometry, from Alexandria.

POSCAR file:
```
Cs4H2Se
1.0
-3.5681 3.5681 8.3426
3.5681 -3.5681 8.3426
3.5681 3.5681 -8.3426
Cs H Se
4 2 1
Cartesian
3.5681 0.0000 0.0000
0.0000 0.0000 3.4466
0.0000 3.5681 0.0000
0.0000 0.0000 13.2386
0.0000 0.0000 7.9578
0.0000 0.0000 8.7273
0.0000 0.0000 0.0000
```

- Crystal system: tetragonal
- Offset from the most stable computed form: 100 meV/atom
- Total DFT energy (no corrections): -16.6 eV per formula unit
- D(E_F): 2.42 states/eV/cell


Record 8
The following is a PBE calculation of crystalline Cs4H2Se at its relaxed geometry, from Alexandria.

POSCAR file:
```
Cs4H2Se
1.0
0.0000 7.5374 7.5503
5.1130 0.0000 7.5503
5.1130 7.5374 0.0000
Cs H Se
8 4 2
Cartesian
3.0667 3.2493 3.2564
7.1593 7.0180 7.0315
4.6028 8.0567 3.2564
4.6028 3.2493 8.0690
5.6232 11.8254 7.0315
5.6232 7.0180 11.8442
3.0667 8.0567 8.0690
7.1593 11.8254 11.8442
0.0000 0.0000 0.0000
2.5565 3.7687 0.0000
2.5565 0.0000 3.7751
0.0000 3.7687 3.7751
3.8347 5.6530 5.6627
6.3912 9.4217 9.4379
```

- Crystal system: orthorhombic
- Offset from the most stable computed form: 0 meV/atom
- Total DFT energy (no corrections): -17.3 eV per formula unit
- D(E_F): 0.00 states/eV/cell


Record 9
The following is a PBE calculation of crystalline Cs4H12Se at its relaxed geometry, from Alexandria.

POSCAR file:
```
Cs4H12Se
1.0
-4.6943 4.6943 4.6943
4.6943 -4.6943 4.6943
4.6943 4.6943 -4.6943
Cs H Se
4 12 1
Cartesian
2.3471 2.3471 -2.3471
2.3471 -2.3471 2.3471
-2.3471 2.3471 2.3471
2.3471 2.3471 2.3471
4.3058 0.0000 1.1939
5.0827 0.0000 1.1939
4.6943 3.5004 -0.3885
4.6943 3.5004 0.3885
1.1939 4.3058 0.0000
3.5004 -0.3885 4.6943
1.1939 5.0827 0.0000
3.5004 0.3885 4.6943
0.0000 1.1939 4.3058
0.0000 1.1939 5.0827
-0.3885 4.6943 3.5004
0.3885 4.6943 3.5004
0.0000 0.0000 0.0000
```

- Crystal system: cubic
- Total DFT energy (no corrections): -48.5 eV per formula unit
- D(E_F): 5.72 states/eV/cell


Record 10
The following is a PBE calculation of crystalline CsHSe at its relaxed geometry, from Alexandria.

POSCAR file:
```
CsHSe
1.0
-9.2111 9.2111 5.6027
9.2111 -9.2111 5.6027
9.2111 9.2111 -5.6027
Cs H Se
16 16 16
Cartesian
2.6664 -2.6025 1.7542
11.2141 1.9391 1.0471
11.8775 -2.6025 3.8485
4.5722 3.3023 0.2934
7.9078 9.2444 -3.0948
7.9078 0.0333 3.0948
4.6388 -3.3023 5.8961
7.2080 7.2720 1.0471
2.0030 1.9391 4.5556
4.5722 12.5133 -0.2934
1.3032 9.1777 2.5080
1.3032 -0.0333 8.6975
4.6388 5.9088 5.3093
-2.6664 11.8135 1.7542
-2.0030 7.2720 4.5556
6.5446 11.8135 3.8485
8.8320 2.4348 -1.2496
11.3817 4.2264 -1.5518
7.0404 4.9846 -1.5518
0.8753 1.8281 0.4583
9.5901 6.7762 -1.2496
-2.7774 3.7302 2.3431
8.3357 -1.8281 6.0610
6.4336 3.7302 3.2597
2.7774 5.4809 2.3431
0.8753 11.0391 -0.4583
11.9885 5.4809 3.2597
-0.3791 2.4348 6.8523
8.3357 7.3830 5.1444
2.1707 4.2264 7.1545
-2.1707 4.9846 7.1545
0.3791 6.7762 6.8523
6.3583 -3.1761 2.3579
7.7816 1.7528 -0.4434
6.3583 6.0350 -2.3579
1.9271 0.9503 1.0341
14.7669 2.6784 1.7673
10.6405 7.4583 -0.4434
1.9271 10.1614 -1.0341
5.5558 2.6784 3.8354
3.6552 6.5326 1.7673
7.2840 -0.9503 6.6368
-1.4294 1.7528 6.0461
-5.5558 6.5326 3.8354
7.2840 8.2607 4.5687
2.8527 3.1761 7.9607
1.4294 7.4583 6.0461
2.8527 12.3871 3.2448
```

- Crystal system: tetragonal
- Total DFT energy (no corrections): -9.8 eV per formula unit
- D(E_F): 0.00 states/eV/cell


Record 11
The following is a PBE calculation of crystalline Cs3H2Se at its relaxed geometry, from Alexandria.

POSCAR file:
```
Cs3H2Se
1.0
13.3876 -2.9947 0.0000
13.3876 2.9947 0.0000
-1.3830 0.0000 6.7113
Cs H Se
6 4 2
Cartesian
1.1563 0.0000 1.9867
5.6907 0.0000 1.8615
10.4709 0.0000 1.2119
14.9214 0.0000 5.4994
19.7016 0.0000 4.8499
24.2360 0.0000 4.7246
0.4141 0.0000 5.3218
7.2539 0.0000 5.2265
18.1384 0.0000 1.4848
24.9781 0.0000 1.3896
8.5722 0.0000 4.3680
16.8200 0.0000 2.3434
```

- Crystal system: monoclinic
- Total DFT energy (no corrections): -14.9 eV per formula unit
- D(E_F): 5.02 states/eV/cell


Record 12
The following is a PBE calculation of crystalline Cs2HSe at its relaxed geometry, from Alexandria.

POSCAR file:
```
Cs2HSe
1.0
0.0000 4.2315 4.2315
4.2315 0.0000 4.2315
4.2315 4.2315 0.0000
Cs H Se
2 1 1
Cartesian
2.1157 2.1157 2.1157
6.3472 6.3472 6.3472
0.0000 0.0000 0.0000
4.2315 4.2315 4.2315
```

- Crystal system: cubic
- Offset from the most stable computed form: 161 meV/atom
- Total DFT energy (no corrections): -9.9 eV per formula unit
- D(E_F): 3.66 states/eV/cell


Copy entry 3 word for word.
The following is a PBE calculation of crystalline CsHSe3 at its relaxed geometry, from Alexandria.

POSCAR file:
```
CsHSe3
1.0
4.8293 0.0000 0.0000
0.0000 4.8293 0.0000
0.0000 0.0000 4.8293
Cs H Se
1 1 3
Cartesian
0.0000 0.0000 0.0000
2.4146 2.4146 2.4146
0.0000 2.4146 2.4146
2.4146 0.0000 2.4146
2.4146 2.4146 0.0000
```

- Crystal system: cubic
- Offset from the most stable computed form: 804 meV/atom
- Total DFT energy (no corrections): -12.8 eV per formula unit
- D(E_F): 3.40 states/eV/cell